1.
## CoWN2 (SCAN)

Data for a crystal of CoWN2 relaxed with PBEsol. Values from VASP.

```
&SYSTEM
  ibrav = 0, nat = 4, ntyp = 3
/
ATOMIC_SPECIES
Co 58.93 Co.upf
W 183.84 W.upf
N 14.01 N.upf
CELL_PARAMETERS angstrom
1.4541 0.8396 6.0234
-1.4541 0.8396 6.0234
0.0000 -1.6791 6.0234
ATOMIC_POSITIONS crystal
Co 0.0000 0.0000 0.0000
W 0.5000 0.5000 0.5000
N 0.1002 0.1002 0.1002
N 0.8998 0.8998 0.8998
```

Properties
Crystal system   trigonal
Electronic total energy   -105.60 eV per cell
Space-group type   No. 166

***

2.
## Mg2ZrPb (SCAN)

Data for a crystal of Mg2ZrPb relaxed with PBEsol. Values from VASP.

```
&SYSTEM
  ibrav = 0, nat = 4, ntyp = 3
/
ATOMIC_SPECIES
Mg 24.30 Mg.upf
Zr 91.22 Zr.upf
Pb 207.20 Pb.upf
CELL_PARAMETERS angstrom
-2.0957 2.0957 5.1801
2.0957 -2.0957 5.1801
2.0957 2.0957 -5.1801
ATOMIC_POSITIONS crystal
Mg 0.2500 0.7500 0.5000
Mg 0.7500 0.2500 0.5000
Zr 0.0000 0.0000 0.0000
Pb 0.5000 0.5000 0.0000
```

Properties
ΔE_f   -179 meV per atom
Crystal system   tetragonal
Space-group type   No. 139

***

3.
## LaRh2Br (SCAN)

Data for a crystal of LaRh2Br relaxed with PBEsol. Values from VASP.

```
&SYSTEM
  ibrav = 0, nat = 4, ntyp = 3
/
ATOMIC_SPECIES
La 138.91 La.upf
Rh 102.91 Rh.upf
Br 79.90 Br.upf
CELL_PARAMETERS angstrom
3.3711 0.0000 0.0000
0.0000 3.8371 0.0000
0.0000 0.0000 5.9041
ATOMIC_POSITIONS crystal
La 0.0000 0.0000 0.0000
Rh 0.5000 0.5000 0.2451
Rh 0.5000 0.5000 0.7549
Br 0.0000 0.0000 0.5000
```

Properties
Crystal system   orthorhombic
Space-group type   No. 47
Offset from the most stable computed form   115 meV per atom

***

4.
## Ru2W (SCAN)

Data for a crystal of Ru2W relaxed with PBEsol. Values from VASP.

```
&SYSTEM
  ibrav = 0, nat = 6, ntyp = 2
/
ATOMIC_SPECIES
Ru 101.07 Ru.upf
W 183.84 W.upf
CELL_PARAMETERS angstrom
4.9551 -1.3682 0.0000
4.9551 1.3682 0.0000
-1.5588 0.0000 6.2385
ATOMIC_POSITIONS crystal
Ru 0.0000 0.0000 0.0000
Ru 0.0572 0.0572 0.6122
Ru 0.3354 0.3354 0.6690
Ru 0.6674 0.6674 0.3385
W 0.3931 0.3931 0.2867
W 0.7184 0.7184 0.9448
```

Properties
ΔE_f   22 meV per atom
Crystal system   monoclinic
Space-group type   No. 8